K3Ce3ScO8: optimized geometry, GGA-PBE.

POSCAR file:
```
K3Ce3ScO8
1.0
3.522 2.034 6.308
-3.522 2.034 6.308
0.000 -4.067 6.308
K Ce Sc O
3 3 1 8
Direct
0.000 0.500 0.500
0.500 0.000 0.500
0.500 0.500 0.000
0.000 0.000 0.500
0.000 0.500 0.000
0.500 0.000 0.000
0.500 0.500 0.500
0.230 0.230 0.230
0.244 0.714 0.714
0.286 0.286 0.756
0.286 0.756 0.286
0.714 0.244 0.714
0.714 0.714 0.244
0.756 0.286 0.286
0.770 0.770 0.770
```

* crystal system: trigonal
* ρ: 4.35 g cm⁻³
* E_form (uncorrected): -2.813 eV per atom
* total magnetic moment: 0.134 μB/atom